This record from Alexandria describes an optimized crystal structure of Ca3ZnH. The functional is PBE.

Geometry as extended XYZ:
```
10
Lattice="3.930 0.000 0.000 0.000 9.795 0.000 -1.963 0.000 6.879" Properties=species:S:1:pos:R:3 pbc="T T T"
Ca 0.002 2.449 0.680
Ca 0.003 0.657 4.916
Ca 0.003 4.240 4.916
Ca 1.963 5.555 1.963
Ca 1.963 9.138 1.963
Ca 1.964 7.346 6.199
Zn -0.002 7.346 3.693
Zn 1.969 2.449 3.186
H 0.002 2.449 6.349
H 1.964 7.346 0.531
```

Computed properties:
Total energy ... -11.85 eV/f.u.
Offset from the most stable computed form ... 0.000 eV per atom
Crystal system ... monoclinic
Magnetic moment ... 0.00 μB per formula unit


This record from Alexandria describes an optimized crystal structure of LiBeSb2Te. The functional is PBE.

Geometry as extended XYZ:
```
5
Lattice="4.913 0.000 0.000 0.000 4.913 0.000 0.000 0.000 5.167" Properties=species:S:1:pos:R:3 pbc="T T T"
Li 0.000 0.000 0.000
Be 2.457 2.457 2.583
Sb 0.000 2.457 0.000
Sb 2.457 0.000 0.000
Te 0.000 0.000 2.583
```

Computed properties:
Total energy ... -13.26 eV/f.u.
Offset from the most stable computed form ... 0.513 eV per atom
Crystal system ... tetragonal
E_form (uncorrected) ... 754.0 meV/atom
Magnetic moment ... 0.00 μB per formula unit